# 1
A plane-wave DFT calculation with PBE-GGA was carried out for a relaxed Nd2Zn5Ni5 crystal.

Computed properties:
energy	-48.7	eV per formula unit
polymorph energy (0 for the lowest one)	0.0366	eV per atom
DOS(E_F)	9.213	states/eV/cell
energy relative to the elements	-0.325	eV/atom

Unit cell a=4.0061 b=5.2200 c=9.0572 alpha=90.00 beta=90.00 gamma=90.00
With the nearest neighbours (Å) after each atom.
Sites, in units of the cell vectors:
Nd  0.0000  0.5000  0.0000  10 Zn 3.02-3.29, 8 Ni 3.31
Nd  0.0000  0.0000  0.5000  6 Zn 2.94-3.02, 12 Ni 3.28-3.29
Zn  0.0000  0.5000  0.3329  6 Ni 2.49-2.51
Zn  0.0000  0.0000  0.8248  4 Ni 2.50, 2 Zn 2.56
Zn  0.0000  0.0000  0.1752  4 Ni 2.50, 2 Zn 2.56
Zn  0.0000  0.5000  0.6671  6 Ni 2.49-2.51
Zn  0.5000  0.0000  0.0000  4 Zn 2.56, 4 Ni 2.64
Ni  0.5000  0.5000  0.5000  4 Zn 2.51, 4 Ni 2.59
Ni  0.5000  0.7483  0.2527  5 Zn 2.49-2.64, 3 Ni 2.59-2.63
Ni  0.5000  0.2517  0.7473  5 Zn 2.49-2.64, 3 Ni 2.59-2.63
Ni  0.5000  0.2517  0.2527  5 Zn 2.49-2.64, 3 Ni 2.59-2.63
Ni  0.5000  0.7483  0.7473  5 Zn 2.49-2.64, 3 Ni 2.59-2.63

# 2
A plane-wave DFT calculation with PBE-GGA was carried out for a relaxed MnSi2Au crystal.

Computed properties:
energy	-23.4	eV per formula unit
polymorph energy (0 for the lowest one)	0.1154	eV per atom
uncorrected formation energy	-0.028	eV/atom
DOS(E_F)	1.922	states/eV/cell

Unit cell a=6.4449 b=6.4449 c=6.4449 alpha=156.48 beta=145.68 gamma=42.03
With the nearest neighbours (Å) after each atom.
Sites, in units of the cell vectors:
Au  0.4436  0.4436  0.0000  2 Au 2.63, 6 Si 2.73-2.88, 2 Mn 2.90
Mn  0.2283  0.7283  0.5000  6 Si 2.35-2.37, 2 Mn 2.63
Si  0.0640  0.0640  0.0000  2 Mn 2.37, 2 Si 2.63
Si  0.7641  0.2641  0.5000  4 Mn 2.35, 2 Si 2.63

# 3
A plane-wave DFT calculation with PBE-GGA was carried out for a relaxed Na2HgBi2 crystal.

Computed properties:
energy	-10.9	eV per formula unit
polymorph energy (0 for the lowest one)	0.1753	eV per atom
DOS(E_F)	2.855	states/eV/cell
energy relative to the elements	-0.040	eV/atom

Unit cell a=6.1733 b=6.1733 c=6.5029 alpha=61.66 beta=61.66 gamma=90.00
With the nearest neighbours (Å) after each atom.
Sites, in units of the cell vectors:
Na  0.7500  0.2500  0.5000  4 Bi 3.23
Na  0.2500  0.7500  0.5000  4 Bi 3.23
Bi  0.3482  0.3482  0.3035  1 Bi 2.93, 4 Na 3.23
Bi  0.6518  0.6518  0.6965  1 Bi 2.93, 4 Na 3.23
Hg  0.0000  0.0000  0.0000  2 Bi 3.36

# 4
A plane-wave DFT calculation with PBE-GGA was carried out for a relaxed Pm12PrSc3 crystal.

Computed properties:
energy	-80.2	eV per formula unit
DOS(E_F)	24.166	states/eV/cell
energy relative to the elements	0.036	eV/atom

Unit cell a=5.0642 b=5.0642 c=20.2310 alpha=90.00 beta=90.00 gamma=90.00
With the nearest neighbours (Å) after each atom.
Sites, in units of the cell vectors:
Pm  0.5000  0.5000  0.0000  4 Pr 3.58, 8 Pm 3.67
Pm  0.5000  0.5000  0.2547  8 Pm 3.54-3.56, 4 Sc 3.58
Pm  0.5000  0.5000  0.5000  8 Pm 3.55, 4 Sc 3.58
Pm  0.5000  0.5000  0.7453  8 Pm 3.54-3.56, 4 Sc 3.58
Pm  0.5000  0.0000  0.1310  2 Sc 3.55, 8 Pm 3.56-3.67, 2 Pr 3.67
Pm  0.5000  0.0000  0.3770  8 Pm 3.54-3.58, 4 Sc 3.55
Pm  0.5000  0.0000  0.6230  8 Pm 3.54-3.58, 4 Sc 3.55
Pm  0.5000  0.0000  0.8690  2 Sc 3.55, 8 Pm 3.56-3.67, 2 Pr 3.67
Pm  0.0000  0.5000  0.1310  2 Sc 3.55, 8 Pm 3.56-3.67, 2 Pr 3.67
Pm  0.0000  0.5000  0.3770  8 Pm 3.54-3.58, 4 Sc 3.55
Pm  0.0000  0.5000  0.6230  8 Pm 3.54-3.58, 4 Sc 3.55
Pm  0.0000  0.5000  0.8690  2 Sc 3.55, 8 Pm 3.56-3.67, 2 Pr 3.67
Pr  0.0000  0.0000  0.0000  12 Pm 3.58-3.67
Sc  0.0000  0.0000  0.2540  12 Pm 3.55-3.58
Sc  0.0000  0.0000  0.5000  12 Pm 3.55-3.58
Sc  0.0000  0.0000  0.7460  12 Pm 3.55-3.58

# 5
A plane-wave DFT calculation with PBE-GGA was carried out for a relaxed KLaOs2O8 crystal.

Computed properties:
energy	-86.7	eV per formula unit
uncorrected formation energy	-1.546	eV/atom
DOS(E_F)	1.030	states/eV/cell

Unit cell a=6.1079 b=6.1079 c=7.8035 alpha=90.00 beta=90.00 gamma=120.00
With the nearest neighbours (Å) after each atom.
Sites, in units of the cell vectors:
K  0.0000  0.0000  0.0000  6 O 2.98
La  0.0000  0.0000  0.5000  6 O 2.39
Os  0.6667  0.3333  0.2177  4 O 1.77-1.82
Os  0.3333  0.6667  0.7823  4 O 1.77-1.82
O  0.3333  0.6667  0.0085  1 Os 1.77
O  0.3451  0.1717  0.3018  1 Os 1.82
O  0.8283  0.1734  0.3018  1 Os 1.82
O  0.6667  0.3333  0.9915  1 Os 1.77
O  0.1717  0.8266  0.6982  1 Os 1.82
O  0.6549  0.8283  0.6982  1 Os 1.82
O  0.1734  0.3451  0.6982  1 Os 1.82
O  0.8266  0.6549  0.3018  1 Os 1.82

# 6
A plane-wave DFT calculation with PBE-GGA was carried out for a relaxed PrZn2Ga2 crystal.

Computed properties:
energy	-15.7	eV per formula unit
DOS(E_F)	1.655	states/eV/cell
energy relative to the elements	-0.464	eV/atom

Unit cell a=4.2604 b=4.2604 c=6.1561 alpha=110.22 beta=110.22 gamma=90.30
With the nearest neighbours (Å) after each atom.
Sites, in units of the cell vectors:
Pr  0.0000  0.0000  0.0000  8 Zn 3.24-3.26, 8 Ga 3.42-3.43
Zn  0.6137  0.6137  0.2266  1 Zn 2.43, 4 Ga 2.59
Zn  0.3863  0.3863  0.7734  1 Zn 2.43, 4 Ga 2.59
Ga  0.7489  0.2511  0.5000  4 Zn 2.59
Ga  0.2511  0.7489  0.5000  4 Zn 2.59

# 7
A plane-wave DFT calculation with PBE-GGA was carried out for a relaxed ZnTe2N crystal.

Computed properties:
energy	-11.1	eV per formula unit
polymorph energy (0 for the lowest one)	0.5937	eV per atom
uncorrected formation energy	1.184	eV/atom
DOS(E_F)	2.374	states/eV/cell

Unit cell a=4.7650 b=4.7650 c=4.7650 alpha=60.00 beta=60.00 gamma=60.00
With the nearest neighbours (Å) after each atom.
Sites, in units of the cell vectors:
Zn  0.5000  0.5000  0.5000  8 Te 2.92
Te  0.2500  0.2500  0.2500  4 Zn 2.92, 4 N 2.92
Te  0.7500  0.7500  0.7500  4 Zn 2.92, 4 N 2.92
N  0.0000  0.0000  0.0000  8 Te 2.92

# 8
A plane-wave DFT calculation with PBE-GGA was carried out for a relaxed NpBiPd crystal.

Computed properties:
energy	-22.1	eV per formula unit
DOS(E_F)	8.958	states/eV/cell
energy relative to the elements	-0.030	eV/atom

Unit cell a=3.5641 b=3.5641 c=6.1843 alpha=106.75 beta=106.75 gamma=90.00
With the nearest neighbours (Å) after each atom.
Sites, in units of the cell vectors:
Np  0.5953  0.5953  0.1905  4 Pd 2.95
Bi  0.2958  0.2958  0.5915  4 Pd 3.12, 5 Np 3.38-3.39
Pd  0.9590  0.9590  0.9180  4 Np 2.95, 4 Bi 3.12

# 9
A plane-wave DFT calculation with PBE-GGA was carried out for a relaxed AlSi2Ru crystal.

Computed properties:
energy	-24.7	eV per formula unit
uncorrected formation energy	-0.212	eV/atom
DOS(E_F)	1.195	states/eV/cell

Unit cell a=4.5255 b=4.5255 c=4.3702 alpha=84.69 beta=84.69 gamma=38.19
With the nearest neighbours (Å) after each atom.
Sites, in units of the cell vectors:
Ru  0.7450  0.7450  0.7687  7 Si 2.55-2.73, 3 Al 2.56-2.74
Si  0.0114  0.0114  0.9872  1 Si 2.43, 3 Ru 2.56-2.59, 4 Al 2.61-2.68
Si  0.2517  0.2517  0.2424  1 Si 2.43, 1 Al 2.44, 2 Ru 2.55
Al  0.4919  0.4919  0.5016  5 Si 2.44-2.68, 1 Ru 2.56

# 10
A plane-wave DFT calculation with PBE-GGA was carried out for a relaxed LiB11 crystal.

Computed properties:
energy	-66.3	eV per formula unit
polymorph energy (0 for the lowest one)	0.6256	eV per atom
DOS(E_F)	2.186	states/eV/cell
energy relative to the elements	0.752	eV/atom

Unit cell a=5.2251 b=5.2251 c=5.2251 alpha=128.95 beta=128.95 gamma=75.09
With the nearest neighbours (Å) after each atom.
Sites, in units of the cell vectors:
Li  0.7500  0.2500  0.5000  20 B 2.39-2.63
B  0.6533  0.6533  0.0000  6 B 1.75-1.79
B  0.3467  0.3467  0.0000  6 B 1.75-1.79
B  0.6977  0.6977  0.3954  5 B 1.78-1.93
B  0.3023  0.3023  0.6046  5 B 1.78-1.93
B  0.3023  0.6977  0.0000  5 B 1.78-1.93
B  0.6977  0.3023  0.0000  5 B 1.78-1.93
B  0.5844  0.8214  0.7631  2 B 1.75-1.82
B  0.0583  0.8214  0.2369  2 B 1.75-1.82
B  0.1786  0.9417  0.7631  2 B 1.75-1.82
B  0.1786  0.4156  0.2369  2 B 1.75-1.82
B  0.0000  0.0000  0.0000  8 B 1.82-1.93

# 11
A plane-wave DFT calculation with PBE-GGA was carried out for a relaxed Ta2ZnSiP crystal.

Computed properties:
energy	-31.0	eV per formula unit
uncorrected formation energy	0.959	eV/atom
DOS(E_F)	3.473	states/eV/cell

Unit cell a=4.7610 b=4.1854 c=4.7610 alpha=90.00 beta=90.00 gamma=90.00
With the nearest neighbours (Å) after each atom.
Sites, in units of the cell vectors:
P  0.5000  0.5000  0.5000  8 Ta 3.17, 4 Zn 3.37
Zn  0.0000  0.5000  0.0000  2 Si 2.09
Si  0.0000  0.0000  0.0000  2 Zn 2.09
Ta  0.0000  0.0000  0.5000  2 Si 2.38
Ta  0.5000  0.0000  0.0000  2 Si 2.38

# 12
A plane-wave DFT calculation with PBE-GGA was carried out for a relaxed ZrInIr2 crystal.

Computed properties:
energy	-30.1	eV per formula unit
DOS(E_F)	3.051	states/eV/cell
energy relative to the elements	-0.262	eV/atom

Unit cell a=3.6372 b=3.6372 c=5.5742 alpha=90.00 beta=90.00 gamma=90.00
With the nearest neighbours (Å) after each atom.
Sites, in units of the cell vectors:
In  0.5000  0.5000  0.7865  6 Ir 2.76-2.81
Ir  0.0000  0.0000  0.9678  4 In 2.76, 2 Zr 2.76-2.81
Ir  0.5000  0.5000  0.2821  2 In 2.76-2.81, 4 Zr 2.76
Zr  0.0000  0.0000  0.4636  6 Ir 2.76-2.81

> The highest energy belongs to which entry?

Na2HgBi2